Material: Dy2Ga5Ni
Method: DFT, PBE
State: relaxed

Cell: 6.0531 6.0531 6.0531 Å, 120.20 120.20 89.66°
Last column: nearest neighbours and their distance in Å.
Positions (direct):
1 Dy 0.0000 0.5000 0.5000  10 Ga 3.02-3.05
2 Dy 0.5000 0.0000 0.5000  10 Ga 3.02-3.05
3 Ga 0.0003 0.0003 0.0000  1 Ni 2.43
4 Ga 0.5320 0.5320 0.5607  1 Ni 2.41, 2 Ga 2.65
5 Ga 0.5320 0.9713 0.0000  1 Ni 2.41, 2 Ga 2.65
6 Ga 0.9713 0.5320 0.0000  1 Ni 2.41, 2 Ga 2.65
7 Ga 0.9713 0.9713 0.4393  1 Ni 2.41, 2 Ga 2.65
8 Ni 0.2836 0.2836 0.0000  5 Ga 2.41-2.43

Its density of states at the Fermi level is 0.43 states/eV per atom. Its formation energy is -465 meV per atom.